1.
LiZrNpSe4 after structural relaxation. Source: Alexandria, functional PBE.

magnetization: 7.94 μB per cell
E_form (uncorrected): -1253 meV/atom
DOS at the Fermi energy: 19.463 states/eV/cell
crystal system: orthorhombic
DFT total energy: -92.2 eV/cell

abc: 7.8532 8.0887 8.0887
angles: 62.26 60.96 60.96
Each line ends with the local moment (μB).
Fractional positions:
Zr1 0.5000 0.0000 0.5000  0.23
Zr2 0.0000 0.0000 0.5000  0.23
Li1 0.6318 0.6182 0.1182  0.00
Li2 0.3682 0.3818 0.8818  0.00
Np1 0.0000 0.5000 0.5000  3.73
Np2 0.0000 0.0000 0.0000  3.73
Se1 0.2361 0.7617 0.2617  -0.07
Se2 0.2595 0.2383 0.7383  -0.07
Se3 0.7485 0.2301 0.2730  -0.04
Se4 0.2515 0.7699 0.7270  -0.04
Se5 0.2515 0.2270 0.2699  -0.04
Se6 0.7485 0.7730 0.7301  -0.04
Se7 0.7405 0.7617 0.2617  -0.07
Se8 0.7639 0.2383 0.7383  -0.07


2.
YEr2P3 after structural relaxation. Source: Alexandria, functional PBE.

magnetization: 0.00 μB per cell
ΔH_f (0 K): -1.62 eV per atom
DOS at the Fermi energy: 2.425 states/eV/cell
crystal system: orthorhombic
DFT total energy: -166.1 eV/cell

abc: 5.6321 7.9552 11.9665
angles: 90.00 90.00 90.00
Fractional positions:
Er1 0.7502 0.6246 0.9165
Er2 0.2498 0.3754 0.0835
Er3 0.2503 0.3750 0.7495
Er4 0.7497 0.6250 0.2505
Er5 0.2503 0.8750 0.7505
Er6 0.2498 0.8754 0.4165
Er7 0.7497 0.1250 0.2495
Er8 0.7502 0.1246 0.5835
Y1 0.7501 0.6254 0.5829
Y2 0.7501 0.1254 0.9171
Y3 0.2499 0.3746 0.4171
Y4 0.2499 0.8746 0.0829
P1 0.2501 0.6233 0.9157
P2 0.2501 0.1267 0.9160
P3 0.7499 0.8767 0.4157
P4 0.2501 0.1233 0.5843
P5 0.7499 0.3733 0.4160
P6 0.2501 0.6267 0.5840
P7 0.7503 0.8750 0.7503
P8 0.7499 0.8733 0.0840
P9 0.7499 0.3767 0.0843
P10 0.7503 0.3750 0.7497
P11 0.2497 0.1250 0.2497
P12 0.2497 0.6250 0.2503


3.
AlGe2Te6 after structural relaxation. Source: Alexandria, functional PBE.

magnetization: 0.00 μB per cell
E_form (uncorrected): -56 meV/atom
DOS at the Fermi energy: 8.100 states/eV/cell
crystal system: monoclinic
DFT total energy: -64.7 eV/cell

abc: 7.1913 9.5409 9.5409
angles: 88.97 75.63 75.63
Fractional positions:
Te1 0.6554 0.2993 0.4816
Te2 0.1554 0.4816 0.2993
Te3 0.3706 0.4043 0.8642
Te4 0.0715 0.8335 0.9621
Te5 0.3446 0.7007 0.5184
Te6 0.8706 0.8642 0.4043
Te7 0.1294 0.1358 0.5957
Te8 0.6294 0.5957 0.1358
Te9 0.9285 0.1665 0.0379
Te10 0.5715 0.9621 0.8335
Te11 0.4285 0.0379 0.1665
Te12 0.8446 0.5184 0.7007
Ge1 0.1298 0.6183 0.7666
Ge2 0.3702 0.2334 0.3817
Ge3 0.6298 0.7666 0.6183
Ge4 0.8702 0.3817 0.2334
Al1 0.7500 0.8284 0.1716
Al2 0.2500 0.1716 0.8284


4.
BaNpAg2I8 after structural relaxation. Source: Alexandria, functional PBE.

magnetization: 2.99 μB per cell
E_form (uncorrected): -827 meV/atom
DOS at the Fermi energy: 4.471 states/eV/cell
crystal system: triclinic
DFT total energy: -42.9 eV/cell

abc: 7.6111 8.0551 9.8395
angles: 70.57 89.92 100.03
Each line ends with the local moment (μB).
Fractional positions:
Ag1 0.5313 0.3469 0.6764  -0.01
Ag2 0.4687 0.6531 0.3236  -0.01
I1 0.6383 0.7678 0.0446  -0.07
I2 0.8747 0.2247 0.1566  -0.05
I3 0.1063 0.7477 0.2857  -0.04
I4 0.1253 0.7753 0.8434  -0.05
I5 0.4216 0.2649 0.4279  -0.01
I6 0.8937 0.2523 0.7143  -0.04
I7 0.3617 0.2322 0.9554  -0.07
I8 0.5784 0.7351 0.5721  -0.01
Ba1 0.0000 0.0000 0.5000  0.00
Np1 0.0000 0.0000 0.0000  3.40


5.
Cd3FeMo after structural relaxation. Source: Alexandria, functional PBE.

relative energy among the computed polymorphs: 0.000 eV/atom
magnetization: 5.47 μB per cell
ΔH_f (0 K): 1.21 eV per atom
DOS at the Fermi energy: 3.979 states/eV/cell
crystal system: cubic
DFT total energy: -16.0 eV/cell

abc: 4.8937 4.8937 4.8937
angles: 90.00 90.00 90.00
Each line ends with the local moment (μB).
Fractional positions:
Cd1 0.0000 0.5000 0.0000  -0.07
Cd2 0.5000 0.0000 0.0000  -0.08
Cd3 0.0000 0.0000 0.5000  -0.06
Fe1 0.0000 0.0000 0.0000  2.23
Mo1 0.5000 0.5000 0.5000  3.14


6.
GaCo3Tc after structural relaxation. Source: Alexandria, functional PBE.

relative energy among the computed polymorphs: 0.000 eV/atom
magnetization: 6.05 μB per cell
ΔH_f (0 K): 1.22 eV per atom
DOS at the Fermi energy: 4.255 states/eV/cell
crystal system: cubic
DFT total energy: -28.6 eV/cell

abc: 4.2370 4.2370 4.2370
angles: 90.00 90.00 90.00
Each line ends with the local moment (μB).
Fractional positions:
Co1 0.5000 0.0000 0.0000  1.37
Co2 0.0000 0.5000 0.0000  1.27
Co3 0.0000 0.0000 0.5000  1.36
Ga1 0.0000 0.0000 0.0000  -0.15
Tc1 0.5000 0.5000 0.5000  2.12


7.
CaThP2Rh5 after structural relaxation. Source: Alexandria, functional PBE.

magnetization: 0.00 μB per cell
ΔH_f (0 K): -0.77 eV per atom
DOS at the Fermi energy: 4.539 states/eV/cell
crystal system: tetragonal
DFT total energy: -63.9 eV/cell

abc: 4.0744 4.0744 10.7499
angles: 90.00 90.00 90.00
Fractional positions:
P1 0.5000 0.5000 0.7090
P2 0.5000 0.5000 0.2910
Rh1 0.5000 0.0000 0.1945
Rh2 0.0000 0.5000 0.8055
Rh3 0.0000 0.5000 0.1945
Rh4 0.5000 0.0000 0.8055
Rh5 0.5000 0.5000 0.5000
Th1 0.0000 0.0000 0.0000
Ca1 0.0000 0.0000 0.5000


8.
YSi2P after structural relaxation. Source: Alexandria, functional PBE.

magnetization: 0.00 μB per cell
E_form (uncorrected): -179 meV/atom
DOS at the Fermi energy: 1.824 states/eV/cell
crystal system: orthorhombic
DFT total energy: -23.4 eV/cell

abc: 3.5433 3.5433 5.7858
angles: 90.00 90.00 92.67
Fractional positions:
P1 0.5000 0.5000 0.7500
Si1 0.0000 0.0000 0.5507
Si2 0.0000 0.0000 0.9493
Y1 0.5000 0.5000 0.2500


9.
Ba3Li3In after structural relaxation. Source: Alexandria, functional PBE.

magnetization: 0.00 μB per cell
ΔH_f (0 K): -0.12 eV per atom
DOS at the Fermi energy: 11.982 states/eV/cell
crystal system: orthorhombic
DFT total energy: -30.2 eV/cell

abc: 5.2522 6.8030 15.7584
angles: 90.00 90.00 112.71
Fractional positions:
Ba1 0.7731 0.5462 0.0988
Ba2 0.2269 0.4538 0.5988
Ba3 0.5238 0.0476 0.7500
Ba4 0.7731 0.5462 0.4012
Ba5 0.4762 0.9524 0.2500
Ba6 0.2269 0.4538 0.9012
In1 0.5000 0.0000 0.5000
In2 0.5000 0.0000 0.0000
Li1 0.8264 0.6529 0.7500
Li2 0.9471 0.8942 0.9184
Li3 0.0529 0.1058 0.4184
Li4 0.0529 0.1058 0.0816
Li5 0.1736 0.3471 0.2500
Li6 0.9471 0.8942 0.5816


10.
CrN2 after structural relaxation. Source: Alexandria, functional PBE.

magnetization: 0.00 μB per cell
E_form (uncorrected): 282 meV/atom
crystal system: orthorhombic
DFT total energy: -101.7 eV/cell

abc: 8.9574 8.9574 8.9574
angles: 151.57 148.94 42.61
Fractional positions:
N1 0.2500 0.9183 0.6683
N2 0.0467 0.3715 0.1668
N3 0.7953 0.1285 0.1752
N4 0.7047 0.8799 0.3332
N5 0.4533 0.6201 0.3248
N6 0.5582 0.2500 0.8082
N7 0.7500 0.5817 0.8317
N8 0.9418 0.7500 0.6918
Cr1 0.5608 0.8108 0.7500
Cr2 0.9392 0.6892 0.2500
Cr3 0.6891 0.4391 0.2500
Cr4 0.8109 0.0609 0.7500


11.
Pa2CoNi9 after structural relaxation. Source: Alexandria, functional PBE.

relative energy among the computed polymorphs: 0.073 eV/atom
magnetization: 2.08 μB per cell
ΔH_f (0 K): -0.14 eV per atom
DOS at the Fermi energy: 14.951 states/eV/cell
crystal system: trigonal
DFT total energy: -79.8 eV/cell

abc: 4.8782 4.8782 8.4470
angles: 73.22 73.22 60.00
Each line ends with the local moment (μB).
Fractional positions:
Co1 0.0000 0.0000 0.0000  1.67
Ni1 0.9200 0.4160 0.2480  0.04
Ni2 0.5840 0.5840 0.7520  0.04
Ni3 0.5840 0.0800 0.7520  0.04
Ni4 0.6668 0.6668 0.9996  0.41
Ni5 0.5000 0.5000 0.5000  -0.01
Ni6 0.0800 0.5840 0.7520  0.04
Ni7 0.4160 0.4160 0.2480  0.04
Ni8 0.4160 0.9200 0.2480  0.04
Ni9 0.3332 0.3332 0.0004  0.41
Pa1 0.8726 0.8726 0.3822  -0.19
Pa2 0.1274 0.1274 0.6178  -0.19


12.
NdDyLu2 after structural relaxation. Source: Alexandria, functional PBE.

relative energy among the computed polymorphs: 0.003 eV/atom
magnetization: 0.00 μB per cell
ΔH_f (0 K): 0.03 eV per atom
DOS at the Fermi energy: 6.431 states/eV/cell
crystal system: tetragonal
DFT total energy: -18.3 eV/cell

abc: 3.5474 3.5474 9.9441
angles: 90.00 90.00 90.00
Fractional positions:
Lu1 0.0000 0.0000 0.7544
Lu2 0.0000 0.0000 0.2456
Nd1 0.5000 0.5000 0.5000
Dy1 0.5000 0.5000 0.0000


13.
LiRhIO2 after structural relaxation. Source: Alexandria, functional PBE.

relative energy among the computed polymorphs: 1.012 eV/atom
magnetization: 0.00 μB per cell
E_form (uncorrected): 471 meV/atom
DOS at the Fermi energy: 8.043 states/eV/cell
crystal system: tetragonal
DFT total energy: -18.4 eV/cell

abc: 3.7715 3.7715 5.2870
angles: 90.00 90.00 90.00
Fractional positions:
O1 0.5000 0.0000 0.0000
O2 0.0000 0.5000 0.0000
I1 0.0000 0.0000 0.5000
Li1 0.0000 0.0000 0.0000
Rh1 0.5000 0.5000 0.5000


14.
LiLaCe after structural relaxation. Source: Alexandria, functional PBE.

relative energy among the computed polymorphs: 0.000 eV/atom
magnetization: 0.00 μB per cell
ΔH_f (0 K): 0.04 eV per atom
DOS at the Fermi energy: 8.013 states/eV/cell
crystal system: tetragonal
DFT total energy: -25.3 eV/cell

abc: 3.5163 3.5163 13.3703
angles: 90.00 90.00 90.00
Fractional positions:
Ce1 0.0000 0.5000 0.5817
Ce2 0.5000 0.0000 0.4183
Li1 0.5000 0.0000 0.0543
Li2 0.0000 0.5000 0.9457
La1 0.0000 0.5000 0.2366
La2 0.5000 0.0000 0.7634


15.
Dy4Ru2Rh after structural relaxation. Source: Alexandria, functional PBE.

magnetization: 0.00 μB per cell
ΔH_f (0 K): -0.45 eV per atom
DOS at the Fermi energy: 3.942 states/eV/cell
crystal system: tetragonal
DFT total energy: -47.5 eV/cell

abc: 5.8905 5.8905 5.8905
angles: 109.48 109.46 109.46
Fractional positions:
Dy1 0.5000 0.0000 0.0000
Dy2 0.5000 0.5000 0.5000
Dy3 0.0000 0.5000 0.0000
Dy4 0.0000 0.0000 0.5000
Ru1 0.5000 0.5000 0.0000
Ru2 0.5000 0.0000 0.5000
Rh1 0.0000 0.0000 0.0000


16.
Zr12TcSb6 after structural relaxation. Source: Alexandria, functional PBE.

magnetization: 0.00 μB per cell
E_form (uncorrected): -228 meV/atom
DOS at the Fermi energy: 19.019 states/eV/cell
crystal system: trigonal
DFT total energy: -142.0 eV/cell

abc: 7.9705 7.9705 7.9705
angles: 100.52 100.52 100.52
Fractional positions:
Sb1 0.3388 0.6702 0.8820
Sb2 0.6702 0.8820 0.3388
Sb3 0.3298 0.1180 0.6612
Sb4 0.1180 0.6612 0.3298
Sb5 0.8820 0.3388 0.6702
Sb6 0.6612 0.3298 0.1180
Zr1 0.9376 0.9937 0.6753
Zr2 0.5937 0.4721 0.7972
Zr3 0.5279 0.2028 0.4063
Zr4 0.7972 0.5937 0.4721
Zr5 0.6753 0.9376 0.9937
Zr6 0.3247 0.0624 0.0063
Zr7 0.0063 0.3247 0.0624
Zr8 0.0624 0.0063 0.3247
Zr9 0.9937 0.6753 0.9376
Zr10 0.4063 0.5279 0.2028
Zr11 0.4721 0.7972 0.5937
Zr12 0.2028 0.4063 0.5279
Tc1 0.0000 0.0000 0.0000


17.
LaPm3Er2Se6 after structural relaxation. Source: Alexandria, functional PBE.

magnetization: 0.00 μB per cell
E_form (uncorrected): -1816 meV/atom
DOS at the Fermi energy: 5.864 states/eV/cell
crystal system: monoclinic
DFT total energy: -71.0 eV/cell

abc: 7.2117 7.2117 7.2292
angles: 99.57 99.57 120.20
Fractional positions:
Se1 0.9187 0.5712 0.7553
Se2 0.2685 0.2685 0.7629
Se3 0.0813 0.4288 0.2447
Se4 0.7315 0.7315 0.2371
Se5 0.5712 0.9187 0.7553
Se6 0.4288 0.0813 0.2447
La1 0.0000 0.0000 0.0000
Er1 0.6670 0.3330 0.0000
Er2 0.3330 0.6670 0.0000
Pm1 0.8411 0.1589 0.5000
Pm2 0.5000 0.5000 0.5000
Pm3 0.1589 0.8411 0.5000


18.
SrTlPt4 after structural relaxation. Source: Alexandria, functional PBE.

magnetization: 0.00 μB per cell
ΔH_f (0 K): -0.57 eV per atom
DOS at the Fermi energy: 2.215 states/eV/cell
crystal system: cubic
DFT total energy: -31.6 eV/cell

abc: 5.5072 5.5072 5.5072
angles: 60.00 60.00 60.00
Fractional positions:
Tl1 0.0000 0.0000 0.0000
Sr1 0.2500 0.2500 0.2500
Pt1 0.6255 0.6255 0.6255
Pt2 0.1236 0.6255 0.6255
Pt3 0.6255 0.6255 0.1236
Pt4 0.6255 0.1236 0.6255


19.
NaSnBiSb after structural relaxation. Source: Alexandria, functional PBE.

relative energy among the computed polymorphs: 0.000 eV/atom
magnetization: 0.00 μB per cell
E_form (uncorrected): -74 meV/atom
DOS at the Fermi energy: 1.512 states/eV/cell
crystal system: orthorhombic
DFT total energy: -13.6 eV/cell

abc: 3.3670 3.1580 11.1802
angles: 90.00 98.66 90.00
Fractional positions:
Sb1 0.4482 0.0000 0.8964
Bi1 0.2219 0.0000 0.4439
Na1 0.8394 0.5000 0.6789
Sn1 0.5858 0.0000 0.1715


20.
Sr2Hg2HPd4 after structural relaxation. Source: Alexandria, functional PBE.

magnetization: 0.00 μB per cell
DOS at the Fermi energy: 1.040 states/eV/cell
crystal system: tetragonal
DFT total energy: -31.2 eV/cell

abc: 6.2645 6.2645 6.2645
angles: 90.43 119.75 119.75
Fractional positions:
Hg1 0.5000 0.2500 0.7500
Hg2 0.5000 0.7500 0.2500
Pd1 0.5432 0.7716 0.7716
Pd2 0.0000 0.2284 0.7716
Pd3 0.4568 0.2284 0.2284
Pd4 0.0000 0.7716 0.2284
H1 0.0000 0.0000 0.0000
Sr1 0.0000 0.2806 0.2806
Sr2 0.0000 0.7194 0.7194


21.
AlB2Br after structural relaxation. Source: Alexandria, functional PBE.

relative energy among the computed polymorphs: 0.806 eV/atom
magnetization: 0.00 μB per cell
E_form (uncorrected): 1854 meV/atom
DOS at the Fermi energy: 2.183 states/eV/cell
crystal system: cubic
DFT total energy: -11.4 eV/cell

abc: 4.3262 4.3262 4.3262
angles: 60.00 60.00 60.00
Fractional positions:
B1 0.2500 0.2500 0.2500
B2 0.7500 0.7500 0.7500
Al1 0.0000 0.0000 0.0000
Br1 0.5000 0.5000 0.5000


22.
Ce2SmZrP4 after structural relaxation. Source: Alexandria, functional PBE.

magnetization: 0.48 μB per cell
ΔH_f (0 K): -1.48 eV per atom
DOS at the Fermi energy: 8.347 states/eV/cell
crystal system: monoclinic
DFT total energy: -58.6 eV/cell

abc: 3.9915 6.9259 6.9143
angles: 109.35 90.00 90.00
Each line ends with the local moment (μB).
Fractional positions:
Ce1 0.5000 0.0000 0.5000  0.12
Ce2 0.0000 0.5000 0.5000  0.30
P1 0.5000 0.7648 0.7627  -0.01
P2 0.0000 0.2400 0.7553  -0.01
P3 0.5000 0.2352 0.2373  -0.01
P4 0.0000 0.7600 0.2447  -0.01
Sm1 0.5000 0.5000 0.0000  0.00
Zr1 0.0000 0.0000 0.0000  0.01